# 1
The following is a PBE calculation of MoWN2 after structural relaxation, from Alexandria.

Its total energy is -10.060 eV/atom. Its density of states at the Fermi level is 1.066 states/eV per atom. Its space-group type is No. 122. The calculation puts the uncorrected formation energy at 0.0491 eV per atom. The value obtained for the energy above the most stable polymorph in this dataset is 329.6 meV per atom. The value obtained for the total magnetization is 0.00 μB/cell.

Cell and atoms, written as POSCAR:
```
MoWN2
1.0
-1.883 4.190 -0.674
-4.024 -1.997 -1.173
-4.328 1.207 3.601
Mo W N
2 2 4
Cartesian
-2.954 1.096 -0.924 Mo
-5.652 0.153 0.752 Mo
0.000 0.000 0.000 W
-4.582 3.246 1.002 W
-2.788 2.729 0.323 N
-3.806 -0.481 0.092 N
-5.405 1.755 2.024 N
-8.470 2.796 1.068 N
```

# 2
The following is a PBE calculation of MoWN3 after structural relaxation, from Alexandria.

Its total energy is -8.542 eV/atom. Its density of states at the Fermi level is 0.456 states/eV per atom. Its space-group type is No. 221. The calculation puts the uncorrected formation energy at 1.2102 eV per atom. The value obtained for the total magnetization is 2.08 μB/cell.

Cell and atoms, written as POSCAR:
```
MoWN3
1.0
3.892 0.000 0.000
0.000 3.892 0.000
0.000 0.000 3.892
Mo W N
1 1 3
Cartesian
0.000 0.000 0.000 Mo
1.946 1.946 1.946 W
0.000 1.946 0.000 N
0.000 0.000 1.946 N
1.946 0.000 0.000 N
```

# 3
The following is a PBE calculation of MoWN2 after structural relaxation, from Alexandria.

Its total energy is -10.389 eV/atom. Its density of states at the Fermi level is 0.465 states/eV per atom. Its space-group type is No. 164. The calculation puts the uncorrected formation energy at -0.2805 eV per atom. The value obtained for the energy above the most stable polymorph in this dataset is 0.0 meV per atom. The value obtained for the total magnetization is 0.00 μB/cell.

Cell and atoms, written as POSCAR:
```
MoWN2
1.0
-2.014 1.932 0.642
-0.482 -2.782 0.488
2.688 3.325 4.805
Mo W N
1 1 2
Cartesian
-0.030 -0.487 0.386 Mo
1.073 -0.216 3.033 W
0.019 1.222 1.772 N
0.596 3.060 4.447 N
```

# 4
The following is a PBE calculation of Mo3WN4 after structural relaxation, from Alexandria.

Its total energy is -10.041 eV/atom. Its density of states at the Fermi level is 0.411 states/eV per atom. Its space-group type is No. 59. The calculation puts the uncorrected formation energy at -0.1976 eV per atom. The value obtained for the total magnetization is 0.00 μB/cell.

Cell and atoms, written as POSCAR:
```
Mo3WN4
1.0
4.055 0.000 0.000
0.000 6.346 0.000
0.000 0.000 7.621
Mo W N
6 2 8
Cartesian
2.289 4.541 7.620 Mo
0.261 3.988 2.524 Mo
2.289 2.359 1.286 Mo
0.261 1.805 3.810 Mo
2.289 2.358 6.335 Mo
0.261 3.987 5.096 Mo
0.261 0.785 0.000 W
2.289 5.561 3.810 W
0.261 5.146 0.001 N
2.289 0.554 7.621 N
0.261 1.853 1.691 N
2.289 4.492 2.119 N
0.261 5.792 3.810 N
2.289 1.200 3.812 N
2.289 4.492 5.501 N
0.261 1.854 5.930 N
```

# 5
The following is a PBE calculation of Y4Mo2N after structural relaxation, from Alexandria.

Its total energy is -7.740 eV/atom. Its density of states at the Fermi level is 1.337 states/eV per atom. Its space-group type is No. 139. The calculation puts the uncorrected formation energy at 0.2378 eV per atom. The value obtained for the total magnetization is 4.27 μB/cell.

Cell and atoms, written as POSCAR:
```
Y4Mo2N
1.0
4.630 0.000 0.000
0.000 4.630 0.000
2.315 2.315 7.783
Y Mo N
4 2 1
Cartesian
4.630 4.630 2.485 Y
2.315 2.315 5.298 Y
0.000 2.315 0.000 Y
2.315 0.000 0.000 Y
4.630 4.630 5.569 Mo
2.315 2.315 2.213 Mo
0.000 0.000 0.000 N
```

# 6
The following is a PBE calculation of Y2MoN after structural relaxation, from Alexandria.

Its total energy is -7.900 eV/atom. Its density of states at the Fermi level is 0.289 states/eV per atom. Its space-group type is No. 122. The calculation puts the uncorrected formation energy at 0.1207 eV per atom. The value obtained for the total magnetization is 6.11 μB/cell.

Cell and atoms, written as POSCAR:
```
Y2MoN
1.0
-0.860 4.157 -5.433
-3.377 -5.020 -3.306
-5.380 0.801 -2.910
Y Mo N
4 2 2
Cartesian
-2.226 1.788 -4.035 Y
-3.643 -2.034 -3.974 Y
-5.935 -0.185 -5.764 Y
-7.431 0.309 -9.523 Y
0.000 0.000 0.000 Mo
-4.180 2.263 -6.356 Mo
-2.119 -0.431 -4.369 N
-5.438 -2.325 -5.292 N
```

# 7
The following is a PBE calculation of YMo2N4 after structural relaxation, from Alexandria.

Its total energy is -9.460 eV/atom. Its density of states at the Fermi level is 0.489 states/eV per atom. Its space-group type is No. 63. The calculation puts the uncorrected formation energy at -0.6843 eV per atom. The value obtained for the total magnetization is 0.00 μB/cell.

Cell and atoms, written as POSCAR:
```
YMo2N4
1.0
-2.531 -0.171 1.875
2.875 -4.322 0.833
5.109 4.813 7.337
Y Mo N
2 4 8
Cartesian
2.973 2.411 6.887 Y
2.481 -2.092 3.158 Y
2.609 1.057 3.618 Mo
4.746 1.054 9.158 Mo
0.707 -0.734 0.887 Mo
2.845 -0.738 6.427 Mo
0.139 -1.902 2.668 N
1.590 -0.535 4.752 N
5.314 2.221 7.377 N
3.863 0.854 5.293 N
3.969 -0.318 7.984 N
1.484 0.638 2.061 N
-1.266 -0.086 0.937 N
1.289 2.321 4.606 N
```

# 8
The following is a PBE calculation of YMo2N after structural relaxation, from Alexandria.

Its total energy is -8.786 eV/atom. Its density of states at the Fermi level is 0.802 states/eV per atom. Its space-group type is No. 166. The calculation puts the uncorrected formation energy at 0.3270 eV per atom. The value obtained for the total magnetization is 0.00 μB/cell.

Cell and atoms, written as POSCAR:
```
YMo2N
1.0
3.304 0.000 0.000
1.652 2.861 0.000
1.652 0.954 7.713
Y Mo N
1 2 1
Cartesian
0.000 0.000 0.000 Y
1.652 0.954 4.778 Mo
4.956 2.861 2.936 Mo
3.304 1.908 3.857 N
```

# 9
The following is a PBE calculation of Y3Mo5N12 after structural relaxation, from Alexandria.

Its total energy is -9.359 eV/atom. Its density of states at the Fermi level is 0.413 states/eV per atom. Its space-group type is No. 230. The calculation puts the uncorrected formation energy at -0.6862 eV per atom. The value obtained for the total magnetization is 0.00 μB/cell.

Cell and atoms, written as POSCAR:
```
Y3Mo5N12
1.0
-7.499 2.372 7.795
-4.990 -0.573 -9.869
4.762 -9.729 2.298
Y Mo N
12 20 48
Cartesian
-6.900 0.348 2.433 Y
-9.708 0.430 -0.294 Y
-3.578 -5.621 -3.042 Y
-0.712 -3.127 1.577 Y
-5.994 -0.428 6.162 Y
-4.740 -1.901 -2.670 Y
-2.986 -6.029 2.895 Y
-1.731 -7.502 -5.937 Y
-7.013 -4.803 -1.353 Y
-4.148 -2.309 3.267 Y
1.982 -8.360 0.518 Y
-0.826 -8.278 -2.208 Y
-1.618 -2.351 -2.152 Mo
-2.495 -0.286 -4.935 Mo
0.000 0.000 0.000 Mo
-3.464 -0.470 0.743 Mo
-1.368 -3.679 5.047 Mo
-6.244 0.900 -1.037 Mo
-2.894 -3.781 -5.566 Mo
-2.081 -6.806 6.624 Mo
-6.957 -2.227 0.540 Mo
0.136 -6.479 3.413 Mo
-7.862 -1.451 -3.189 Mo
-3.863 -3.965 0.112 Mo
-3.749 1.186 3.898 Mo
2.381 -4.865 1.149 Mo
-0.769 -5.703 -0.316 Mo
-5.645 -1.124 -6.399 Mo
-0.114 -5.151 -3.785 Mo
-4.832 -4.148 5.790 Mo
-4.262 -7.460 -0.519 Mo
-6.108 -5.579 2.376 Mo
-5.750 1.399 4.359 N
-3.067 -3.464 -1.725 N
-7.835 -0.798 4.545 N
-4.350 -0.023 2.336 N
-4.639 -5.644 -0.804 N
-9.461 0.218 2.162 N
-4.394 -3.745 -4.439 N
-4.737 -1.436 -8.011 N
-6.119 -5.774 -3.449 N
-7.314 -0.434 0.119 N
-6.557 -2.104 2.369 N
-10.548 1.227 -2.484 N
-1.903 -5.186 -4.815 N
-4.479 -0.144 -0.801 N
-3.316 -4.040 -7.375 N
-0.859 -4.889 3.454 N
-0.577 -1.866 -0.668 N
-6.534 -0.196 -2.762 N
-9.287 -1.485 -1.969 N
-2.492 -0.903 -2.964 N
-3.956 -7.420 -4.850 N
-5.577 -2.981 -0.484 N
-8.378 -3.390 0.156 N
-3.216 -7.197 5.182 N
-2.149 -4.949 0.708 N
0.653 -4.540 0.069 N
-4.510 -0.733 -4.958 N
1.561 -6.445 2.193 N
-3.770 -0.510 5.075 N
-5.234 -7.027 3.189 N
-1.191 -7.734 2.987 N
-6.867 -3.041 -3.229 N
-7.149 -6.064 0.893 N
-4.410 -3.890 7.600 N
-5.823 -2.743 5.039 N
2.822 -9.156 2.708 N
-3.247 -7.786 1.025 N
-1.606 -2.156 3.673 N
-0.412 -7.496 0.105 N
-1.169 -5.826 -2.145 N
-2.989 -6.494 8.236 N
-3.332 -4.185 4.664 N
-3.376 -7.907 -2.111 N
1.735 -8.148 -1.937 N
-3.087 -2.286 1.028 N
0.109 -7.132 -4.321 N
-4.659 -4.466 1.950 N
-1.976 -9.329 -4.134 N
```

# 10
The following is a PBE calculation of Y2MoN4 after structural relaxation, from Alexandria.

Its total energy is -9.189 eV/atom. Its space-group type is No. 11. The calculation puts the uncorrected formation energy at -1.0379 eV per atom. The value obtained for the total magnetization is 0.00 μB/cell.

Cell and atoms, written as POSCAR:
```
Y2MoN4
1.0
-0.687 -2.823 -5.001
5.886 0.032 -0.826
0.692 -4.490 4.761
Y Mo N
4 2 8
Cartesian
3.974 -1.988 -3.836 Y
1.918 -5.294 2.770 Y
1.604 -2.696 0.630 Y
4.289 -4.586 -1.695 Y
4.395 -1.440 -0.817 Mo
1.497 -5.842 -0.248 Mo
2.867 -2.376 -1.492 N
5.023 -4.147 3.557 N
0.869 -3.135 -4.623 N
5.688 -2.361 -1.888 N
1.240 -5.727 -2.074 N
0.204 -4.921 0.823 N
3.026 -4.906 0.427 N
4.652 -1.555 1.009 N
```

# 11
The following is a PBE calculation of YMo2N after structural relaxation, from Alexandria.

Its total energy is -8.895 eV/atom. Its density of states at the Fermi level is 0.860 states/eV per atom. Its space-group type is No. 122. The calculation puts the uncorrected formation energy at 0.2181 eV per atom. The value obtained for the total magnetization is 0.00 μB/cell.

Cell and atoms, written as POSCAR:
```
YMo2N
1.0
-2.918 1.046 -5.356
-5.071 -2.763 2.223
-5.367 2.843 -0.096
Y Mo N
2 4 2
Cartesian
0.000 0.000 0.000 Y
-6.140 1.515 -3.510 Y
-3.250 0.822 -2.086 Mo
-5.425 -0.689 -0.312 Mo
-7.975 0.968 -0.829 Mo
-10.061 1.149 -3.232 Mo
-3.995 -0.859 -1.567 N
-7.216 -0.390 0.280 N
```

# 12
The following is a PBE calculation of YMoN after structural relaxation, from Alexandria.

Its total energy is -8.683 eV/atom. Its density of states at the Fermi level is 1.064 states/eV per atom. Its space-group type is No. 38. The calculation puts the uncorrected formation energy at -0.1429 eV per atom. The value obtained for the total magnetization is 0.02 μB/cell.

Cell and atoms, written as POSCAR:
```
YMoN
1.0
-2.614 -1.350 -1.131
2.577 -1.741 0.516
-3.427 -2.013 10.322
N Y Mo
2 2 2
Cartesian
-1.023 -1.215 -0.577 N
-1.010 -2.345 5.133 N
-2.268 -1.939 3.163 Y
-3.212 -2.493 6.006 Y
0.309 -1.579 1.171 Mo
-2.322 -3.125 9.095 Mo
```

# 13
The following is a PBE calculation of ZnMo2N after structural relaxation, from Alexandria.

Its total energy is -6.850 eV/atom. Its density of states at the Fermi level is 0.868 states/eV per atom. Its space-group type is No. 225. The calculation puts the uncorrected formation energy at 0.9651 eV per atom. The value obtained for the energy above the most stable polymorph in this dataset is 1058.1 meV per atom. The value obtained for the total magnetization is 0.00 μB/cell.

Cell and atoms, written as POSCAR:
```
ZnMo2N
1.0
0.000 2.938 2.938
2.938 0.000 2.938
2.938 2.938 0.000
Mo Zn N
2 1 1
Cartesian
1.469 1.469 1.469 Mo
4.407 4.407 4.407 Mo
2.938 2.938 2.938 Zn
0.000 0.000 0.000 N
```

# 14
The following is a PBE calculation of Zn2MoN3 after structural relaxation, from Alexandria.

Its total energy is -6.489 eV/atom. Its density of states at the Fermi level is 0.449 states/eV per atom. Its space-group type is No. 36. The calculation puts the uncorrected formation energy at -0.0962 eV per atom. The value obtained for the total magnetization is 1.08 μB/cell.

Cell and atoms, written as POSCAR:
```
Zn2MoN3
1.0
2.857 -4.968 0.000
2.857 4.968 0.000
0.000 0.000 5.342
Zn Mo N
4 2 6
Cartesian
1.980 1.670 0.147 Zn
1.980 -1.670 0.147 Zn
3.734 -1.670 2.818 Zn
3.734 1.670 2.818 Zn
0.898 0.000 2.896 Mo
4.816 0.000 0.225 Mo
1.787 1.581 3.437 N
1.787 -1.581 3.437 N
3.927 -1.581 0.766 N
3.927 1.581 0.766 N
0.977 0.000 0.917 N
4.737 0.000 3.588 N
```

# 15
The following is a PBE calculation of ZnMo2N after structural relaxation, from Alexandria.

Its total energy is -7.589 eV/atom. Its density of states at the Fermi level is 0.456 states/eV per atom. Its space-group type is No. 166. The calculation puts the uncorrected formation energy at 0.2263 eV per atom. The value obtained for the energy above the most stable polymorph in this dataset is 319.3 meV per atom. The value obtained for the total magnetization is 0.00 μB/cell.

Cell and atoms, written as POSCAR:
```
ZnMo2N
1.0
2.830 0.000 0.000
1.415 2.451 0.000
1.415 0.817 8.093
Mo Zn N
2 1 1
Cartesian
1.415 0.817 5.454 Mo
4.245 2.451 2.638 Mo
0.000 0.000 0.000 Zn
2.830 1.634 4.046 N
```

# 16
The following is a PBE calculation of Zn5Mo3N12 after structural relaxation, from Alexandria.

Its total energy is -6.382 eV/atom. Its density of states at the Fermi level is 0.602 states/eV per atom. Its space-group type is No. 230. The calculation puts the uncorrected formation energy at 0.5561 eV per atom. The value obtained for the total magnetization is 4.94 μB/cell.

Cell and atoms, written as POSCAR:
```
Zn5Mo3N12
1.0
10.811 0.000 0.000
-3.604 10.193 0.000
-3.604 -5.096 8.827
Mo Zn N
12 20 48
Cartesian
6.306 3.185 1.103 Mo
6.306 7.008 1.103 Mo
-0.901 4.459 5.517 Mo
0.901 -0.637 3.310 Mo
8.108 0.000 2.207 Mo
0.901 5.096 2.207 Mo
2.703 0.000 6.620 Mo
-4.505 5.096 6.620 Mo
2.703 5.733 5.517 Mo
4.505 0.637 3.310 Mo
-2.703 -1.911 7.724 Mo
-2.703 1.911 7.724 Mo
-0.901 2.548 2.207 Zn
-1.802 5.096 0.000 Zn
0.000 0.000 0.000 Zn
2.703 1.911 1.103 Zn
3.604 -2.548 4.414 Zn
3.604 5.096 0.000 Zn
-2.703 5.733 3.310 Zn
4.505 -3.185 7.724 Zn
4.505 4.459 3.310 Zn
0.901 -2.548 6.620 Zn
2.703 7.645 2.207 Zn
1.802 2.548 4.414 Zn
5.406 0.000 0.000 Zn
-1.802 -2.548 4.414 Zn
-0.901 0.637 5.517 Zn
-0.901 8.282 1.103 Zn
-3.604 2.548 4.414 Zn
6.306 -0.637 5.517 Zn
0.901 3.185 7.724 Zn
4.505 2.548 6.620 Zn
7.627 1.351 0.757 N
-0.420 3.880 3.622 N
7.966 2.251 1.831 N
4.647 2.088 1.549 N
1.269 4.476 6.239 N
7.014 4.956 1.825 N
-0.759 5.260 3.380 N
-2.845 8.105 1.549 N
0.533 5.716 6.239 N
5.599 5.237 1.825 N
4.986 2.568 2.865 N
4.986 8.842 0.757 N
-3.071 5.093 5.171 N
1.608 3.586 1.034 N
-3.184 7.625 2.865 N
1.382 -1.217 5.205 N
-0.533 0.616 2.582 N
1.608 6.747 0.791 N
4.647 7.942 1.831 N
0.194 3.446 0.791 N
-2.335 5.713 6.245 N
2.561 4.933 3.380 N
4.872 5.100 5.171 N
3.410 -1.510 7.793 N
1.043 0.163 5.447 N
-1.269 -0.004 3.656 N
0.194 6.607 1.034 N
-1.043 -2.845 6.996 N
5.939 -0.616 2.582 N
3.410 1.651 8.036 N
1.996 -1.651 8.036 N
2.221 6.313 3.622 N
4.137 4.480 6.245 N
6.788 -2.529 5.962 N
6.674 0.004 3.656 N
-1.382 -3.746 8.070 N
1.996 1.510 7.793 N
3.071 -0.620 2.589 N
-1.996 -0.140 7.002 N
-1.382 2.529 5.962 N
6.449 -3.009 7.279 N
4.362 -0.163 5.447 N
-1.043 3.009 7.279 N
-3.410 0.140 7.002 N
2.335 0.620 2.589 N
-4.362 2.845 6.996 N
4.023 1.217 5.205 N
-4.023 3.746 8.070 N
```

# 17
The following is a PBE calculation of ZnMo2N after structural relaxation, from Alexandria.

Its total energy is -7.227 eV/atom. Its density of states at the Fermi level is 1.034 states/eV per atom. Its space-group type is No. 122. The calculation puts the uncorrected formation energy at 0.5886 eV per atom. The value obtained for the energy above the most stable polymorph in this dataset is 681.5 meV per atom. The value obtained for the total magnetization is 0.00 μB/cell.

Cell and atoms, written as POSCAR:
```
ZnMo2N
1.0
4.956 0.000 0.000
0.000 4.956 0.000
2.478 2.478 5.504
Mo Zn N
4 2 2
Cartesian
3.130 1.239 1.376 Mo
1.826 3.717 1.376 Mo
3.717 4.304 4.128 Mo
6.195 5.608 4.128 Mo
0.000 0.000 0.000 Zn
4.956 2.478 2.752 Zn
2.478 2.478 0.000 N
2.478 4.956 2.752 N
```